! Si2HgBr, optimized geometry, DFT PBE; values from VASP
! Offset from the most stable computed form ... 594 meV per atom
! Formation energy without anion corrections ... 0.742 eV per atom
! Raw total energy ... -2.46 eV per atom
! Calculated volume ... 84 Å³ per cell
! Total magnetization ... 0.00 μB per cell
! Space group ... Fm-3m, No. 225
&SYSTEM
  ibrav = 0, nat = 4, ntyp = 3
/
ATOMIC_SPECIES
Si 28.09 Si.upf
Hg 200.59 Hg.upf
Br 79.90 Br.upf
ATOMIC_POSITIONS crystal
Si 0.250 0.250 0.250
Si 0.750 0.750 0.750
Hg 0.000 0.000 0.000
Br 0.500 0.500 0.500
CELL_PARAMETERS angstrom
0.000 3.469 3.469
3.469 0.000 3.469
3.469 3.469 0.000